1.
Entry from Alexandria: TaNiSb2 after structural relaxation (PBE-GGA).

Computed properties:
Density (g cm⁻³): 10.76
Total moment (μB per formula unit): 0.00
N(E_F) (states/eV per atom): 0.62
ΔE_f (raw) (kcal/mol of atoms): 3.41
VASP energy (eV/atom): -6.3217
Excess energy over the best structure of this formula in the dataset (meV/atom): 218

Structure (CIF):
```
data_TaNiSb2
_cell_length_a 3.495
_cell_length_b 3.506
_cell_length_c 6.110
_cell_angle_alpha 90.00
_cell_angle_beta 95.05
_cell_angle_gamma 90.00
_space_group_name_H-M_alt 'P 1 2/m 1'
_space_group_IT_number 10
_space_group_name_Hall '-P 2y'
loop_
_atom_site_label
_atom_site_fract_x
_atom_site_fract_y
_atom_site_fract_z
Ta1 0.000 0.000 0.000
Ni1 0.000 0.000 0.500
Sb1 0.453 0.500 0.740
```

---

2.
Entry from Alexandria: CoSn2BiS after structural relaxation (PBE-GGA).

Computed properties:
Density (g cm⁻³): 7.51
Total moment (μB per formula unit): 0.00
N(E_F) (states/eV per atom): 0.85
ΔE_f (raw) (kcal/mol of atoms): 0.52
VASP energy (eV/atom): -4.6013

Structure (CIF):
```
data_CoSn2BiS
_cell_length_a 5.434
_cell_length_b 5.434
_cell_length_c 4.026
_cell_angle_alpha 90.00
_cell_angle_beta 90.00
_cell_angle_gamma 90.00
_space_group_name_H-M_alt 'P 4/m m m'
_space_group_IT_number 123
_space_group_name_Hall '-P 4 2'
loop_
_atom_site_label
_atom_site_fract_x
_atom_site_fract_y
_atom_site_fract_z
Co1 0.000 0.000 0.000
Sn1 0.000 0.500 0.000
Bi1 0.500 0.500 0.500
S1 0.000 0.000 0.500
```

---

3.
Entry from Alexandria: Be4Cr after structural relaxation (PBE-GGA).

Computed properties:
Density (g cm⁻³): 2.23
ΔH_f (0 K) (eV/atom): 1.548
Total moment (μB per formula unit): 0.00
N(E_F) (states/eV per atom): 0.84
VASP energy (eV/atom): -3.3577
Excess energy over the best structure of this formula in the dataset (meV/atom): 413

Structure (CIF):
```
data_Be4Cr
_cell_length_a 4.031
_cell_length_b 4.031
_cell_length_c 4.031
_cell_angle_alpha 90.00
_cell_angle_beta 90.00
_cell_angle_gamma 90.00
_space_group_name_H-M_alt 'P m -3 m'
_space_group_IT_number 221
_space_group_name_Hall '-P 4 2 3'
loop_
_atom_site_label
_atom_site_fract_x
_atom_site_fract_y
_atom_site_fract_z
Be1 0.000 0.000 0.000
Be2 0.000 0.500 0.500
Cr1 0.500 0.500 0.500
```

---

4.
Entry from Alexandria: Tb5YPb5 after structural relaxation (PBE-GGA).

Computed properties:
Density (g cm⁻³): 8.91
ΔH_f (0 K) (eV/atom): -0.288
Total moment (μB per formula unit): 0.38
N(E_F) (states/eV per atom): 0.80
VASP energy (eV/atom): -4.6664

Structure (CIF):
```
data_Tb5YPb5
_cell_length_a 15.812
_cell_length_b 6.284
_cell_length_c 7.403
_cell_angle_alpha 90.00
_cell_angle_beta 103.34
_cell_angle_gamma 90.00
_space_group_name_H-M_alt 'C 1 2/m 1'
_space_group_IT_number 12
_space_group_name_Hall '-C 2y'
loop_
_atom_site_label
_atom_site_fract_x
_atom_site_fract_y
_atom_site_fract_z
Tb1 0.000 0.000 0.000
Tb2 0.161 0.500 0.833
Tb3 0.164 0.500 0.332
Y1 0.000 0.000 0.500
Pb1 0.000 0.500 0.500
Pb2 0.167 0.000 0.840
Pb3 0.168 0.000 0.329
```

---

5.
Entry from Alexandria: Nd4InGa12 after structural relaxation (PBE-GGA).

Computed properties:
Density (g cm⁻³): 7.02
ΔH_f (0 K) (eV/atom): -0.509
Total moment (μB per formula unit): 0.00
N(E_F) (states/eV per atom): 0.48
VASP energy (eV/atom): -3.9283

Structure (CIF):
```
data_Nd4InGa12
_cell_length_a 8.976
_cell_length_b 8.976
_cell_length_c 8.976
_cell_angle_alpha 90.00
_cell_angle_beta 90.00
_cell_angle_gamma 90.00
_space_group_name_H-M_alt 'I m -3 m'
_space_group_IT_number 229
_space_group_name_Hall '-I 4 2 3'
loop_
_atom_site_label
_atom_site_fract_x
_atom_site_fract_y
_atom_site_fract_z
Nd1 0.250 0.250 0.250
In1 0.000 0.000 0.000
Ga1 0.000 0.000 0.320
Ga2 0.000 0.250 0.500
```

---

6.
Entry from Alexandria: Mn3GaS6 after structural relaxation (PBE-GGA).

Computed properties:
Density (g cm⁻³): 3.86
Total moment (μB per formula unit): 12.02
N(E_F) (states/eV per atom): 0.32
ΔE_f (raw) (kcal/mol of atoms): -9.53
VASP energy (eV/atom): -5.9434

Structure (CIF):
```
data_Mn3GaS6
_cell_length_a 9.785
_cell_length_b 12.081
_cell_length_c 6.216
_cell_angle_alpha 90.00
_cell_angle_beta 90.00
_cell_angle_gamma 90.00
_space_group_name_H-M_alt 'C m c 21'
_space_group_IT_number 36
_space_group_name_Hall 'C 2c -2'
loop_
_atom_site_label
_atom_site_fract_x
_atom_site_fract_y
_atom_site_fract_z
Mn1 0.000 0.096 0.000
Mn2 0.200 0.387 0.916
Ga1 0.000 0.314 0.414
S1 0.000 0.272 0.771
S2 0.000 0.497 0.961
S3 0.167 0.023 0.710
S4 0.167 0.241 0.198
```

---

7.
Entry from Alexandria: SbIrRh2 after structural relaxation (PBE-GGA).

Computed properties:
Density (g cm⁻³): 13.16
Total moment (μB per formula unit): 1.05
N(E_F) (states/eV per atom): 1.42
ΔE_f (raw) (kcal/mol of atoms): 6.67
VASP energy (eV/atom): -6.6321

Structure (CIF):
```
data_SbIrRh2
_cell_length_a 2.9829
_cell_length_b 2.9829
_cell_length_c 25.5248
_cell_angle_alpha 90.00
_cell_angle_beta 90.00
_cell_angle_gamma 120.00
_space_group_name_H-M_alt 'R 3 m'
_space_group_IT_number 160
_space_group_name_Hall 'R 3 -2"'
loop_
_atom_site_label
_atom_site_fract_x
_atom_site_fract_y
_atom_site_fract_z
Sb1 0.0000 0.0000 0.0000
Ir1 0.0000 0.0000 0.2498
Rh1 0.0000 0.0000 0.4994
Rh2 0.0000 0.0000 0.7475
```

---

8.
Entry from Alexandria: HoInGaAu after structural relaxation (PBE-GGA).

Computed properties:
Density (g cm⁻³): 10.60
ΔH_f (0 K) (eV/atom): -0.526
Total moment (μB per formula unit): 0.00
N(E_F) (states/eV per atom): 0.18
VASP energy (eV/atom): -3.9306

Structure (CIF):
```
data_HoInGaAu
_cell_length_a 6.996
_cell_length_b 6.996
_cell_length_c 6.996
_cell_angle_alpha 90.00
_cell_angle_beta 90.00
_cell_angle_gamma 90.00
_space_group_name_H-M_alt 'F -4 3 m'
_space_group_IT_number 216
_space_group_name_Hall 'F -4 2 3'
loop_
_atom_site_label
_atom_site_fract_x
_atom_site_fract_y
_atom_site_fract_z
Ho1 0.000 0.000 0.000
In1 0.000 0.000 0.500
Ga1 0.250 0.250 0.250
Au1 0.250 0.250 0.750
```

---

9.
Entry from Alexandria: SmY3Ni2 after structural relaxation (PBE-GGA).

Computed properties:
Density (g cm⁻³): 5.83
ΔH_f (0 K) (eV/atom): -0.270
Total moment (μB per formula unit): 0.00
N(E_F) (states/eV per atom): 1.15
VASP energy (eV/atom): -6.2154

Structure (CIF):
```
data_SmY3Ni2
_cell_length_a 16.242
_cell_length_b 3.904
_cell_length_c 11.521
_cell_angle_alpha 90.00
_cell_angle_beta 123.47
_cell_angle_gamma 90.00
_space_group_name_H-M_alt 'C 1 2/m 1'
_space_group_IT_number 12
_space_group_name_Hall '-C 2y'
loop_
_atom_site_label
_atom_site_fract_x
_atom_site_fract_y
_atom_site_fract_z
Sm1 0.154 0.000 0.247
Y1 0.081 0.500 0.442
Y2 0.083 0.500 0.939
Y3 0.154 0.000 0.747
Ni1 0.232 0.000 0.047
Ni2 0.232 0.000 0.549
```

---

10.
Entry from Alexandria: Ho12Mg2Sc5 after structural relaxation (PBE-GGA).

Computed properties:
Density (g cm⁻³): 6.68
ΔH_f (0 K) (eV/atom): 0.143
Total moment (μB per formula unit): 0.00
N(E_F) (states/eV per atom): 1.43
VASP energy (eV/atom): -4.5818

Structure (CIF):
```
data_Ho12Mg2Sc5
_cell_length_a 15.482
_cell_length_b 8.567
_cell_length_c 8.454
_cell_angle_alpha 90.00
_cell_angle_beta 92.67
_cell_angle_gamma 90.00
_space_group_name_H-M_alt 'C 1 2/m 1'
_space_group_IT_number 12
_space_group_name_Hall '-C 2y'
loop_
_atom_site_label
_atom_site_fract_x
_atom_site_fract_y
_atom_site_fract_z
Ho1 0.053 0.000 0.259
Ho2 0.110 0.198 0.606
Ho3 0.150 0.500 0.874
Ho4 0.182 0.301 0.228
Mg1 0.000 0.270 0.000
Sc1 0.000 0.500 0.500
Sc2 0.155 0.000 0.935
Sc3 0.239 0.500 0.561
```

---

11.
Entry from Alexandria: Li2PaGa after structural relaxation (PBE-GGA).

Computed properties:
Density (g cm⁻³): 7.34
ΔH_f (0 K) (eV/atom): 0.167
Total moment (μB per formula unit): 1.02
N(E_F) (states/eV per atom): 1.22
VASP energy (eV/atom): -3.9205
Excess energy over the best structure of this formula in the dataset (meV/atom): 42

Structure (CIF):
```
data_Li2PaGa
_cell_length_a 6.580
_cell_length_b 6.580
_cell_length_c 6.580
_cell_angle_alpha 90.00
_cell_angle_beta 90.00
_cell_angle_gamma 90.00
_space_group_name_H-M_alt 'F m -3 m'
_space_group_IT_number 225
_space_group_name_Hall '-F 4 2 3'
loop_
_atom_site_label
_atom_site_fract_x
_atom_site_fract_y
_atom_site_fract_z
Li1 0.250 0.250 0.250
Pa1 0.000 0.000 0.000
Ga1 0.000 0.000 0.500
```

---

12.
Entry from Alexandria: KSiSb2 after structural relaxation (PBE-GGA).

Computed properties:
Density (g cm⁻³): 3.97
Total moment (μB per formula unit): 0.00
N(E_F) (states/eV per atom): 0.28
ΔE_f (raw) (kcal/mol of atoms): 1.40
VASP energy (eV/atom): -3.6307

Structure (CIF):
```
data_KSiSb2
_cell_length_a 3.826
_cell_length_b 5.249
_cell_length_c 12.938
_cell_angle_alpha 90.00
_cell_angle_beta 90.00
_cell_angle_gamma 90.00
_space_group_name_H-M_alt 'I m m 2'
_space_group_IT_number 44
_space_group_name_Hall 'I 2 -2'
loop_
_atom_site_label
_atom_site_fract_x
_atom_site_fract_y
_atom_site_fract_z
K1 0.000 0.000 0.000
Si1 0.000 0.500 0.719
Sb1 0.000 0.000 0.360
Sb2 0.000 0.500 0.240
```

---

13.
Entry from Alexandria: LiSb2Rh after structural relaxation (PBE-GGA).

Computed properties:
Density (g cm⁻³): 6.92
Total moment (μB per formula unit): 0.00
N(E_F) (states/eV per atom): 0.49
ΔE_f (raw) (kcal/mol of atoms): -7.64
VASP energy (eV/atom): -4.7087
Excess energy over the best structure of this formula in the dataset (meV/atom): 20

Structure (CIF):
```
data_LiSb2Rh
_cell_length_a 3.4797
_cell_length_b 3.4797
_cell_length_c 24.2723
_cell_angle_alpha 90.00
_cell_angle_beta 90.00
_cell_angle_gamma 120.00
_space_group_name_H-M_alt 'R -3 m'
_space_group_IT_number 166
_space_group_name_Hall '-R 3 2"'
loop_
_atom_site_label
_atom_site_fract_x
_atom_site_fract_y
_atom_site_fract_z
Li1 0.0000 0.0000 0.0000
Sb1 0.0000 0.0000 0.2403
Rh1 0.0000 0.0000 0.5000
```

---

14.
Entry from Alexandria: TePt2Cl after structural relaxation (PBE-GGA).

Computed properties:
Density (g cm⁻³): 12.22
Total moment (μB per formula unit): 0.00
N(E_F) (states/eV per atom): 0.86
ΔE_f (raw) (kcal/mol of atoms): 10.26
VASP energy (eV/atom): -3.8226
Excess energy over the best structure of this formula in the dataset (meV/atom): 684

Structure (CIF):
```
data_TePt2Cl
_cell_length_a 6.130
_cell_length_b 7.237
_cell_length_c 3.390
_cell_angle_alpha 90.00
_cell_angle_beta 90.00
_cell_angle_gamma 90.00
_space_group_name_H-M_alt 'C m m m'
_space_group_IT_number 65
_space_group_name_Hall '-C 2 2'
loop_
_atom_site_label
_atom_site_fract_x
_atom_site_fract_y
_atom_site_fract_z
Te1 0.000 0.000 0.000
Pt1 0.250 0.250 0.500
Cl1 0.000 0.500 0.000
```

---

15.
Entry from Alexandria: MgF after structural relaxation (PBE-GGA).

Computed properties:
Density (g cm⁻³): 2.39
Total moment (μB per formula unit): 0.00
N(E_F) (states/eV per atom): 0.09
ΔE_f (raw) (kcal/mol of atoms): -54.69
VASP energy (eV/atom): -4.1045
Excess energy over the best structure of this formula in the dataset (meV/atom): 69

Structure (CIF):
```
data_MgF
_cell_length_a 3.1522
_cell_length_b 3.1522
_cell_length_c 7.0031
_cell_angle_alpha 90.00
_cell_angle_beta 90.00
_cell_angle_gamma 120.00
_space_group_name_H-M_alt 'P -3 m 1'
_space_group_IT_number 164
_space_group_name_Hall '-P 3 2"'
loop_
_atom_site_label
_atom_site_fract_x
_atom_site_fract_y
_atom_site_fract_z
Mg1 0.3333 0.6667 0.3178
F1 0.3333 0.6667 0.8182
```

---

16.
Entry from Alexandria: LaSi2Ru after structural relaxation (PBE-GGA).

Computed properties:
Density (g cm⁻³): 6.41
Total moment (μB per formula unit): 0.00
N(E_F) (states/eV per atom): 0.51
ΔE_f (raw) (kcal/mol of atoms): -18.16
VASP energy (eV/atom): -7.0497

Structure (CIF):
```
data_LaSi2Ru
_cell_length_a 7.197
_cell_length_b 4.129
_cell_length_c 10.331
_cell_angle_alpha 90.00
_cell_angle_beta 90.00
_cell_angle_gamma 90.00
_space_group_name_H-M_alt 'P n m a'
_space_group_IT_number 62
_space_group_name_Hall '-P 2ac 2n'
loop_
_atom_site_label
_atom_site_fract_x
_atom_site_fract_y
_atom_site_fract_z
La1 0.152 0.250 0.123
Si1 0.159 0.250 0.815
Si2 0.179 0.250 0.421
Ru1 0.009 0.750 0.389
```

---

17.
Entry from Alexandria: BaNi4Te after structural relaxation (PBE-GGA).

Computed properties:
Density (g cm⁻³): 7.98
Total moment (μB per formula unit): 2.13
N(E_F) (states/eV per atom): 1.28
ΔE_f (raw) (kcal/mol of atoms): 4.39
VASP energy (eV/atom): -4.5078

Structure (CIF):
```
data_BaNi4Te
_cell_length_a 7.465
_cell_length_b 7.465
_cell_length_c 7.465
_cell_angle_alpha 90.00
_cell_angle_beta 90.00
_cell_angle_gamma 90.00
_space_group_name_H-M_alt 'F -4 3 m'
_space_group_IT_number 216
_space_group_name_Hall 'F -4 2 3'
loop_
_atom_site_label
_atom_site_fract_x
_atom_site_fract_y
_atom_site_fract_z
Ba1 0.000 0.000 0.000
Ni1 0.124 0.124 0.624
Te1 0.250 0.250 0.250
```

---

18.
Entry from Alexandria: Tb2Sm3Sc2 after structural relaxation (PBE-GGA).

Computed properties:
Density (g cm⁻³): 6.65
ΔH_f (0 K) (eV/atom): 0.040
Total moment (μB per formula unit): 0.00
N(E_F) (states/eV per atom): 1.49
VASP energy (eV/atom): -5.1140
Excess energy over the best structure of this formula in the dataset (meV/atom): 0

Structure (CIF):
```
data_Tb2Sm3Sc2
_cell_length_a 5.253
_cell_length_b 23.570
_cell_length_c 3.466
_cell_angle_alpha 90.00
_cell_angle_beta 90.00
_cell_angle_gamma 90.00
_space_group_name_H-M_alt 'C m m m'
_space_group_IT_number 65
_space_group_name_Hall '-C 2 2'
loop_
_atom_site_label
_atom_site_fract_x
_atom_site_fract_y
_atom_site_fract_z
Tb1 0.000 0.075 0.000
Sm1 0.000 0.343 0.500
Sm2 0.000 0.500 0.500
Sc1 0.000 0.216 0.000
```

---

19.
Entry from Alexandria: UTcNiP2 after structural relaxation (PBE-GGA).

Computed properties:
Density (g cm⁻³): 10.12
ΔH_f (0 K) (eV/atom): -0.683
Total moment (μB per formula unit): 2.07
N(E_F) (states/eV per atom): 1.43
VASP energy (eV/atom): -8.3343

Structure (CIF):
```
data_UTcNiP2
_cell_length_a 3.829
_cell_length_b 3.829
_cell_length_c 10.223
_cell_angle_alpha 90.00
_cell_angle_beta 90.00
_cell_angle_gamma 90.00
_space_group_name_H-M_alt 'I -4 m 2'
_space_group_IT_number 119
_space_group_name_Hall 'I -4 -2'
loop_
_atom_site_label
_atom_site_fract_x
_atom_site_fract_y
_atom_site_fract_z
U1 0.000 0.000 0.000
Tc1 0.000 0.500 0.250
Ni1 0.000 0.500 0.750
P1 0.000 0.000 0.383
```